a | # NaAsSe3

Crystalline NaAsSe3 at its relaxed geometry (GGA-PBE, Alexandria via LeMat-Bulk).

Cell: 5.133 5.133 5.133 Å, 90.00 90.00 90.00°
Sites, in units of the cell vectors:
Se (0.500, 0.000, 0.000)
Se (0.000, 0.500, 0.000)
Se (0.000, 0.000, 0.500)
Na (0.500, 0.500, 0.500)
As (0.000, 0.000, 0.000)

Summary:
Its size of the total moment is 0.000 μB/f.u.



b | # NaAsSe3

Crystalline NaAsSe3 at its relaxed geometry (GGA-PBE, Alexandria via LeMat-Bulk).

Cell: 6.847 9.389 9.389 Å, 82.18 80.57 80.57°
Sites, in units of the cell vectors:
Se (0.044, 0.389, 0.796)
Se (0.456, 0.204, 0.611)
Se (0.956, 0.611, 0.204)
Se (0.470, 0.832, 0.942)
Se (0.970, 0.942, 0.832)
Se (0.717, 0.526, 0.765)
Se (0.530, 0.168, 0.058)
Se (0.783, 0.235, 0.474)
Se (0.217, 0.765, 0.526)
Se (0.283, 0.474, 0.235)
Se (0.030, 0.058, 0.168)
Se (0.544, 0.796, 0.389)
Na (0.310, 0.096, 0.366)
Na (0.690, 0.904, 0.634)
Na (0.190, 0.634, 0.904)
Na (0.810, 0.366, 0.096)
As (0.250, 0.065, 0.935)
As (0.750, 0.935, 0.065)
As (0.750, 0.263, 0.737)
As (0.250, 0.737, 0.263)

Summary:
Its size of the total moment is 0.000 μB/f.u.



Which is most stable? The ranking, best first, is b, a.



a | # Na8As2Se

Crystalline Na8As2Se at its relaxed geometry (GGA-PBE, Alexandria via LeMat-Bulk).

Cell: 4.951 7.024 9.078 Å, 111.99 105.83 90.00°
Sites, in units of the cell vectors:
Na (0.601, 0.438, 0.203)
Na (0.788, 0.693, 0.576)
Na (0.018, 0.771, 0.037)
Na (0.399, 0.562, 0.797)
Na (0.668, 0.947, 0.336)
Na (0.212, 0.307, 0.424)
Na (0.332, 0.053, 0.664)
Na (0.982, 0.229, 0.963)
As (0.831, 0.326, 0.663)
As (0.169, 0.674, 0.337)
Se (0.500, 0.000, 0.000)

Summary:
Its size of the total moment is 0.000 μB/f.u.



b | # Na8As2Se

Crystalline Na8As2Se at its relaxed geometry (GGA-PBE, Alexandria via LeMat-Bulk).

Cell: 5.022 7.011 8.729 Å, 113.68 106.72 90.00°
Sites, in units of the cell vectors:
Na (0.350, 0.584, 0.699)
Na (0.650, 0.416, 0.301)
Na (0.000, 0.722, 0.000)
Na (0.650, 0.885, 0.301)
Na (0.814, 0.814, 0.628)
Na (0.350, 0.115, 0.699)
Na (0.000, 0.278, 0.000)
Na (0.186, 0.186, 0.372)
Se (0.500, 0.000, 0.000)
As (0.177, 0.677, 0.355)
As (0.823, 0.323, 0.645)

Summary:
Its size of the total moment is 0.000 μB/f.u.



Which is most stable? The ranking, best first, is a, b.



a | # NaAsSe

Crystalline NaAsSe at its relaxed geometry (GGA-PBE, Alexandria via LeMat-Bulk).

Cell: 4.008 5.507 9.053 Å, 65.44 90.07 68.83°
Sites, in units of the cell vectors:
Se (0.939, 0.569, 0.240)
Se (0.252, 0.939, 0.583)
Na (0.520, 0.406, 0.538)
Na (0.671, 0.102, 0.285)
As (0.784, 0.877, 0.946)
As (0.405, 0.632, 0.877)

Summary:
Its size of the total moment is 0.000 μB/f.u.



b | # NaAsSe

Crystalline NaAsSe at its relaxed geometry (GGA-PBE, Alexandria via LeMat-Bulk).

Cell: 4.011 4.454 9.242 Å, 112.00 84.81 90.00°
Sites, in units of the cell vectors:
As (0.242, 0.347, 0.028)
As (0.758, 0.653, 0.972)
Se (0.156, 0.609, 0.309)
Se (0.844, 0.391, 0.691)
Na (0.653, 0.135, 0.335)
Na (0.347, 0.865, 0.665)

Summary:
Its size of the total moment is 0.000 μB/f.u.



Which is most stable? The ranking, best first, is b, a.



a | # Na2As2Se5

Crystalline Na2As2Se5 at its relaxed geometry (GGA-PBE, Alexandria via LeMat-Bulk).

Cell: 4.657 7.813 9.413 Å, 112.23 111.78 108.87°
Sites, in units of the cell vectors:
Se (0.000, 0.000, 0.000)
Se (0.151, 0.797, 0.520)
Se (0.685, 0.358, 0.870)
Se (0.315, 0.642, 0.130)
Se (0.849, 0.203, 0.480)
Na (0.822, 0.313, 0.199)
Na (0.178, 0.687, 0.801)
As (0.792, 0.064, 0.728)
As (0.208, 0.936, 0.272)

Summary:
Its size of the total moment is 0.000 μB/f.u.



b | # Na2As2Se5

Crystalline Na2As2Se5 at its relaxed geometry (GGA-PBE, Alexandria via LeMat-Bulk).

Cell: 5.421 11.701 6.010 Å, 135.68 90.00 103.40°
Sites, in units of the cell vectors:
Se (0.339, 0.678, 0.231)
Se (0.000, 0.000, 0.000)
Se (0.836, 0.672, 0.711)
Se (0.164, 0.328, 0.289)
Se (0.661, 0.322, 0.769)
Na (0.400, 0.800, 0.905)
Na (0.600, 0.200, 0.095)
As (0.825, 0.649, 0.284)
As (0.175, 0.351, 0.716)

Summary:
Its size of the total moment is 0.000 μB/f.u.



Which is most stable? The ranking, best first, is b, a.



a | # NaSiAs2Se

Crystalline NaSiAs2Se at its relaxed geometry (GGA-PBE, Alexandria via LeMat-Bulk).

Cell: 4.836 4.836 5.093 Å, 90.00 90.00 90.00°
Sites, in units of the cell vectors:
Si (0.000, 0.000, 0.000)
As (0.500, 0.000, 0.000)
As (0.000, 0.500, 0.000)
Na (0.500, 0.500, 0.500)
Se (0.000, 0.000, 0.500)

Summary:
Its size of the total moment is 0.001 μB/f.u.



b | # NaSiAs2Se

Crystalline NaSiAs2Se at its relaxed geometry (GGA-PBE, Alexandria via LeMat-Bulk).

Cell: 4.964 4.964 5.127 Å, 90.00 90.00 90.00°
Sites, in units of the cell vectors:
Se (0.000, 0.000, 0.500)
Si (0.500, 0.500, 0.500)
As (0.000, 0.500, 0.000)
As (0.500, 0.000, 0.000)
Na (0.000, 0.000, 0.000)

Summary:
Its size of the total moment is 0.000 μB/f.u.



Which is most stable? The ranking, best first, is a, b.



a | # NaSnAs2Se

Crystalline NaSnAs2Se at its relaxed geometry (GGA-PBE, Alexandria via LeMat-Bulk).

Cell: 5.041 5.041 5.225 Å, 90.00 90.00 90.00°
Site moments in Bohr magnetons follow the coordinates.
Sites, in units of the cell vectors:
Se (0.000, 0.000, 0.500)  0.11
Na (0.000, 0.000, 0.000)  0.01
As (0.500, 0.000, 0.000)  0.09
As (0.000, 0.500, 0.000)  0.09
Sn (0.500, 0.500, 0.500)  0.01

Summary:
Its size of the total moment is 0.564 μB/f.u.



b | # NaSnAs2Se

Crystalline NaSnAs2Se at its relaxed geometry (GGA-PBE, Alexandria via LeMat-Bulk).

Cell: 5.321 5.321 5.492 Å, 90.00 90.00 90.00°
Site moments in Bohr magnetons follow the coordinates.
Sites, in units of the cell vectors:
Se (0.000, 0.000, 0.500)  0.12
As (0.500, 0.000, 0.000)  0.27
As (0.000, 0.500, 0.000)  0.27
Na (0.500, 0.500, 0.500)  0.00
Sn (0.000, 0.000, 0.000)  0.00

Summary:
Its size of the total moment is 1.358 μB/f.u.



Which is most stable? The ranking, best first, is b, a.